Entry 1:
Density functional theory data (GGA-PBE) for a relaxed structure of LiAlSb.

Results
Crystal system = orthorhombic
Formation energy (no corrections) = -0.17 eV per atom
Fermi-level density of states = 2.70 states/eV per cell

Unit cell a=10.315 b=4.353 c=6.461 alpha=90.00 beta=90.00 gamma=90.00
Sites, in units of the cell vectors:
Li1 0.120 0.250 0.036
Li2 0.380 0.750 0.536
Li3 0.620 0.250 0.464
Li4 0.880 0.750 0.964
Al1 0.130 0.250 0.476
Al2 0.370 0.750 0.976
Al3 0.630 0.250 0.024
Al4 0.870 0.750 0.524
Sb1 0.127 0.750 0.745
Sb2 0.373 0.250 0.245
Sb3 0.627 0.750 0.755
Sb4 0.873 0.250 0.255

Entry 2:
Density functional theory data (GGA-PBE) for a relaxed structure of Li2AlSb.

Results
Crystal system = tetragonal
Formation energy (no corrections) = -0.25 eV per atom
Fermi-level density of states = 1.42 states/eV per cell

Unit cell a=5.248 b=5.248 c=5.248 alpha=132.95 beta=132.95 gamma=68.73
Sites, in units of the cell vectors:
Li1 0.000 0.000 0.000
Li2 0.750 0.250 0.500
Al1 0.500 0.500 0.000
Sb1 0.250 0.750 0.500

Entry 3:
Density functional theory data (GGA-PBE) for a relaxed structure of LiAlSb.

Results
Crystal system = tetragonal
Formation energy (no corrections) = -0.01 eV per atom
Fermi-level density of states = 1.54 states/eV per cell

Unit cell a=6.594 b=6.594 c=6.594 alpha=151.78 beta=151.78 gamma=40.33
Sites, in units of the cell vectors:
Li1 0.000 0.000 0.000
Al1 0.660 0.660 0.000
Sb1 0.330 0.330 0.000

Entry 4:
Density functional theory data (GGA-PBE) for a relaxed structure of LiAl2Sb.

Results
Crystal system = tetragonal
Formation energy (no corrections) = -0.08 eV per atom
Fermi-level density of states = 1.35 states/eV per cell

Unit cell a=4.042 b=4.042 c=4.719 alpha=90.00 beta=90.00 gamma=90.00
Sites, in units of the cell vectors:
Li1 0.000 0.000 0.000
Al1 0.000 0.500 0.500
Al2 0.500 0.000 0.500
Sb1 0.500 0.500 0.000